[1]
Entry from Alexandria via LeMat-Bulk: a geometry-optimized CaTaSb structure (PBE).

a b c (Å): 3.665 3.665 10.906
angles (deg): 90.00 90.00 90.00
Space group P4mm (No. 99)
Inequivalent atoms, fractional coordinates:
Ca: 0.000 0.000 0.000 (multiplicity 1)
Ca: 0.000 0.000 0.352 (multiplicity 1)
Ta: 0.000 0.000 0.699 (multiplicity 1)
Ta: 0.500 0.500 0.808 (multiplicity 1)
Sb: 0.500 0.500 0.169 (multiplicity 1)
Sb: 0.500 0.500 0.547 (multiplicity 1)

Computed properties:
crystal system = tetragonal
total energy = -6.221 eV/atom
ΔE_f (raw) = -228 meV per atom
calculated volume = 24.42 Å³ per atom
DOS(E_F) = 0.64 states/eV per atom

=====

[2]
Entry from Alexandria via LeMat-Bulk: a geometry-optimized CaTa2Sb structure (PBE).

a b c (Å): 3.597 4.979 9.900
angles (deg): 90.00 90.00 90.00
Space group Cmmm (No. 65)
Inequivalent atoms, fractional coordinates:
Ca: 0.000 0.000 0.000 (multiplicity 2)
Ta: 0.000 0.500 0.276 (multiplicity 4)
Sb: 0.000 0.000 0.500 (multiplicity 2)

Computed properties:
crystal system = orthorhombic
total energy = -6.921 eV/atom
ΔE_f (raw) = 536 meV per atom
calculated volume = 22.16 Å³ per atom
DOS(E_F) = 1.29 states/eV per atom

=====

[3]
Entry from Alexandria via LeMat-Bulk: a geometry-optimized CaTa2Sb structure (PBE).

a b c (Å): 3.829 5.057 9.326
angles (deg): 90.00 90.00 90.00
Space group Cmm2 (No. 35)
Inequivalent atoms, fractional coordinates:
Ca: 0.000 0.000 0.000 (multiplicity 2)
Ta: 0.000 0.000 0.489 (multiplicity 2)
Ta: 0.000 0.500 0.278 (multiplicity 2)
Sb: 0.000 0.500 0.716 (multiplicity 2)

Computed properties:
crystal system = orthorhombic
total energy = -7.301 eV/atom
ΔE_f (raw) = 156 meV per atom
calculated volume = 22.58 Å³ per atom
DOS(E_F) = 0.49 states/eV per atom

=====

[4]
Entry from Alexandria via LeMat-Bulk: a geometry-optimized CaTaSb structure (PBE).

a b c (Å): 3.4070 3.4070 7.3464
angles (deg): 90.00 90.00 120.00
Space group P3m1 (No. 156)
Inequivalent atoms, fractional coordinates:
Ca: 0.0000 0.0000 0.0000 (multiplicity 1)
Ta: 0.3333 0.6667 0.6479 (multiplicity 1)
Sb: 0.6667 0.3333 0.3638 (multiplicity 1)

Computed properties:
crystal system = trigonal
total energy = -5.725 eV/atom
ΔE_f (raw) = 267 meV per atom
calculated volume = 24.62 Å³ per atom
DOS(E_F) = 0.80 states/eV per atom

=====

[5]
Entry from Alexandria via LeMat-Bulk: a geometry-optimized CaTa2Sb structure (PBE).

a b c (Å): 3.084 5.378 5.328
angles (deg): 90.00 91.20 90.00
Space group P2/m (No. 10)
Inequivalent atoms, fractional coordinates:
Ca: 0.000 0.000 0.000 (multiplicity 1)
Ta: 0.372 0.500 0.758 (multiplicity 2)
Sb: 0.500 0.000 0.500 (multiplicity 1)

Computed properties:
crystal system = monoclinic
total energy = -7.117 eV/atom
ΔE_f (raw) = 341 meV per atom
calculated volume = 22.09 Å³ per atom
DOS(E_F) = 0.92 states/eV per atom

=====

[6]
Entry from Alexandria via LeMat-Bulk: a geometry-optimized CaTa2Sb structure (PBE).

a b c (Å): 9.179 3.312 6.314
angles (deg): 90.00 98.44 90.00
Space group Cm (No. 8)
Inequivalent atoms, fractional coordinates:
Ca: 0.000 0.000 0.000 (multiplicity 2)
Ta: 0.224 0.000 0.677 (multiplicity 2)
Ta: 0.492 0.000 0.513 (multiplicity 2)
Sb: 0.253 0.500 0.298 (multiplicity 2)

Computed properties:
crystal system = monoclinic
total energy = -7.193 eV/atom
ΔE_f (raw) = 264 meV per atom
calculated volume = 23.74 Å³ per atom
DOS(E_F) = 0.84 states/eV per atom

=====

[7]
Entry from Alexandria via LeMat-Bulk: a geometry-optimized Ca3TaSb structure (PBE).

a b c (Å): 5.830 5.830 5.830
angles (deg): 90.00 90.00 90.00
Space group Pm-3m (No. 221)
Inequivalent atoms, fractional coordinates:
Ca: 0.000 0.000 0.500 (multiplicity 3)
Ta: 0.500 0.500 0.500 (multiplicity 1)
Sb: 0.000 0.000 0.000 (multiplicity 1)

Computed properties:
crystal system = cubic
total energy = -3.714 eV/atom
ΔE_f (raw) = 682 meV per atom
calculated volume = 39.63 Å³ per atom
energy relative to the lowest polymorph listed for this composition = 0.00 eV per formula unit
DOS(E_F) = 0.28 states/eV per atom

=====

[8]
Entry from Alexandria via LeMat-Bulk: a geometry-optimized CaTaSb structure (PBE).

a b c (Å): 4.8136 4.8136 3.7798
angles (deg): 90.00 90.00 120.00
Space group P-6m2 (No. 187)
Inequivalent atoms, fractional coordinates:
Ca: 0.0000 0.0000 0.0000 (multiplicity 1)
Ta: 0.3333 0.6667 0.5000 (multiplicity 1)
Sb: 0.6667 0.3333 0.5000 (multiplicity 1)

Computed properties:
crystal system = hexagonal
total energy = -5.746 eV/atom
ΔE_f (raw) = 246 meV per atom
calculated volume = 25.28 Å³ per atom
DOS(E_F) = 1.10 states/eV per atom

=====

[9]
Entry from Alexandria via LeMat-Bulk: a geometry-optimized CaTa2Sb structure (PBE).

a b c (Å): 8.293 8.293 5.688
angles (deg): 90.00 90.00 90.00
Space group I-42d (No. 122)
Inequivalent atoms, fractional coordinates:
Ca: 0.000 0.000 0.000 (multiplicity 4)
Ta: 0.204 0.750 0.625 (multiplicity 8)
Sb: 0.000 0.000 0.500 (multiplicity 4)

Computed properties:
crystal system = tetragonal
total energy = -6.675 eV/atom
ΔE_f (raw) = 782 meV per atom
calculated volume = 24.45 Å³ per atom
DOS(E_F) = 1.14 states/eV per atom

=====

[10]
Entry from Alexandria via LeMat-Bulk: a geometry-optimized CaTa2Sb structure (PBE).

a b c (Å): 3.1535 3.1535 30.7334
angles (deg): 90.00 90.00 120.00
Space group R-3m (No. 166, hexagonal axes)
Inequivalent atoms, fractional coordinates:
Ca: 0.0000 0.0000 0.0000 (multiplicity 3)
Ta: 0.0000 0.0000 0.2428 (multiplicity 6)
Sb: 0.0000 0.0000 0.5000 (multiplicity 3)

Computed properties:
crystal system = trigonal
total energy = -6.872 eV/atom
ΔE_f (raw) = 585 meV per atom
calculated volume = 22.06 Å³ per atom
DOS(E_F) = 1.43 states/eV per atom

=====

[11]
Entry from Alexandria via LeMat-Bulk: a geometry-optimized CaTaSb structure (PBE).

a b c (Å): 3.978 5.154 14.171
angles (deg): 90.00 90.00 90.00
Space group Fmm2 (No. 42)
Inequivalent atoms, fractional coordinates:
Ca: 0.000 0.000 0.000 (multiplicity 4)
Ta: 0.000 0.000 0.676 (multiplicity 4)
Sb: 0.000 0.000 0.315 (multiplicity 4)

Computed properties:
crystal system = orthorhombic
total energy = -5.842 eV/atom
ΔE_f (raw) = 150 meV per atom
calculated volume = 24.22 Å³ per atom
DOS(E_F) = 0.43 states/eV per atom

=====

[12]
Entry from Alexandria via LeMat-Bulk: a geometry-optimized CaTa2Sb structure (PBE).

a b c (Å): 6.938 6.938 6.938
angles (deg): 90.00 90.00 90.00
Space group F-43m (No. 216)
Inequivalent atoms, fractional coordinates:
Ca: 0.000 0.000 0.000 (multiplicity 4)
Ta: 0.000 0.000 0.500 (multiplicity 4)
Ta: 0.250 0.250 0.750 (multiplicity 4)
Sb: 0.250 0.250 0.250 (multiplicity 4)

Computed properties:
crystal system = cubic
total energy = -7.121 eV/atom
ΔE_f (raw) = 337 meV per atom
calculated volume = 20.87 Å³ per atom
DOS(E_F) = 1.06 states/eV per atom

=====

Please write out number 2 again, unchanged.
Entry from Alexandria via LeMat-Bulk: a geometry-optimized CaTa2Sb structure (PBE).

a b c (Å): 3.597 4.979 9.900
angles (deg): 90.00 90.00 90.00
Space group Cmmm (No. 65)
Inequivalent atoms, fractional coordinates:
Ca: 0.000 0.000 0.000 (multiplicity 2)
Ta: 0.000 0.500 0.276 (multiplicity 4)
Sb: 0.000 0.000 0.500 (multiplicity 2)

Computed properties:
crystal system = orthorhombic
total energy = -6.921 eV/atom
ΔE_f (raw) = 536 meV per atom
calculated volume = 22.16 Å³ per atom
DOS(E_F) = 1.29 states/eV per atom

=====

> Among the records above, which one has the lowest DOS(E_F)?

Ca3TaSb

=====

> Among the records above, which one has the lowest DOS(E_F)?

Ca3TaSb

=====

> The lowest ΔE_f (raw) belongs to which entry?

number 1